Below is a PBEsol-optimized structure of Co3Rh, with properties calculated at the meta-GGA SCAN level.

a = 2.5446 Å, b = 4.3378 Å, c = 4.3378 Å
α = 108.70°, β = 90.00°, γ = 90.00°
With the nearest neighbours (Å) after each atom.
Atoms (fractional coordinates):
Co 0.5000 0.5000 0.0000  8 Co 2.51-2.54, 4 Rh 2.51
Co 0.0000 0.0000 0.0000  10 Co 2.51-2.54, 2 Rh 2.53
Co 0.5000 0.0000 0.5000  4 Rh 2.51, 8 Co 2.51-2.54
Rh 0.0000 0.5000 0.5000  10 Co 2.51-2.53, 2 Rh 2.54

Summary:
**N(E_F)**: 3.3 states/eV/cell
**VASP energy**: -21.382 eV per atom
**Calculated formation energy**: 0.04 eV/atom

Below is a PBEsol-optimized structure of Co2Rh3, with properties calculated at the meta-GGA SCAN level.

a = 2.6004 Å, b = 3.8894 Å, c = 6.4242 Å
α = 107.62°, β = 90.00°, γ = 90.00°
With the nearest neighbours (Å) after each atom.
Atoms (fractional coordinates):
Co 0.5000 0.7026 0.4052  2 Co 2.27, 1 Rh 2.48
Co 0.5000 0.2974 0.5948  2 Co 2.27, 1 Rh 2.48
Rh 0.0000 0.8874 0.7748  6 Co 2.59-2.61, 7 Rh 2.60-2.76
Rh 0.5000 0.5000 0.0000  2 Co 2.48, 10 Rh 2.60-2.72
Rh 0.0000 0.1126 0.2252  6 Co 2.59-2.61, 7 Rh 2.60-2.76

Summary:
**N(E_F)**: 5.3 states/eV/cell
**Energy above the lowest structure with this stoichiometry**: 0.0 meV/atom
**VASP energy**: -27.133 eV per atom
**Calculated formation energy**: 0.05 eV/atom

Below is a PBEsol-optimized structure of CoRh3, with properties calculated at the meta-GGA SCAN level.

a = 2.6391 Å, b = 4.5358 Å, c = 4.5346 Å
α = 100.06°, β = 106.92°, γ = 90.00°
With the nearest neighbours (Å) after each atom.
Atoms (fractional coordinates):
Rh 0.7472 0.2449 0.4944  3 Co 2.59-2.63, 9 Rh 2.59-2.66
Rh 0.5000 0.5000 0.0000  8 Rh 2.62-2.64, 4 Co 2.62
Rh 0.2528 0.7551 0.5056  3 Co 2.59-2.63, 9 Rh 2.59-2.66
Co 0.0000 0.0000 0.0000  10 Rh 2.59-2.63, 2 Co 2.64

Summary:
**N(E_F)**: 4.4 states/eV/cell
**VASP energy**: -29.603 eV per atom
**Calculated formation energy**: 0.05 eV/atom

Below is a PBEsol-optimized structure of Co3Rh, with properties calculated at the meta-GGA SCAN level.

a = 2.5516 Å, b = 2.5516 Å, c = 8.0684 Å
α = 90.00°, β = 90.00°, γ = 120.00°
With the nearest neighbours (Å) after each atom.
Atoms (fractional coordinates):
Co 0.0000 0.0000 0.0000  12 Co 2.43-2.55
Co 0.3333 0.6667 0.2392  9 Co 2.43-2.55, 3 Rh 2.57
Co 0.3333 0.6667 0.7608  9 Co 2.43-2.55, 3 Rh 2.57
Rh 0.0000 0.0000 0.5000  6 Rh 2.55, 6 Co 2.57

Summary:
**N(E_F)**: 2.8 states/eV/cell
**VASP energy**: -21.352 eV per atom
**Calculated formation energy**: 0.07 eV/atom

Below is a PBEsol-optimized structure of Co5Rh4, with properties calculated at the meta-GGA SCAN level.

a = 3.6538 Å, b = 5.7007 Å, c = 5.7007 Å
α = 84.11°, β = 71.31°, γ = 71.31°
With the nearest neighbours (Å) after each atom.
Atoms (fractional coordinates):
Co 0.3376 0.3248 0.0000  6 Co 2.48-2.63, 6 Rh 2.53-2.58
Co 0.3376 0.0000 0.3248  6 Co 2.48-2.63, 6 Rh 2.53-2.58
Co 0.6624 0.6752 0.0000  6 Co 2.48-2.63, 6 Rh 2.53-2.58
Co 0.6624 0.0000 0.6752  6 Co 2.48-2.63, 6 Rh 2.53-2.58
Co 0.0000 0.0000 0.0000  4 Rh 2.47, 8 Co 2.53
Rh 0.0000 0.6762 0.3238  7 Co 2.47-2.58, 5 Rh 2.64-2.69
Rh 0.3238 0.6762 0.6762  7 Co 2.47-2.58, 5 Rh 2.64-2.69
Rh 0.0000 0.3238 0.6762  7 Co 2.47-2.58, 5 Rh 2.64-2.69
Rh 0.6762 0.3238 0.3238  7 Co 2.47-2.58, 5 Rh 2.64-2.69

Summary:
**N(E_F)**: 8.6 states/eV/cell
**VASP energy**: -24.586 eV per atom
**Calculated formation energy**: 0.04 eV/atom

Below is a PBEsol-optimized structure of Co4Rh, with properties calculated at the meta-GGA SCAN level.

a = 2.5279 Å, b = 2.5279 Å, c = 10.2226 Å
α = 82.90°, β = 82.90°, γ = 60.00°
With the nearest neighbours (Å) after each atom.
Atoms (fractional coordinates):
Co 0.1992 0.1992 0.4023  12 Co 2.42-2.53
Co 0.5963 0.5963 0.2111  9 Co 2.42-2.53, 3 Rh 2.59
Co 0.4037 0.4037 0.7889  9 Co 2.42-2.53, 3 Rh 2.59
Co 0.8008 0.8008 0.5977  12 Co 2.42-2.53
Rh 0.0000 0.0000 0.0000  6 Rh 2.53, 6 Co 2.59

Summary:
**N(E_F)**: 4.2 states/eV/cell
**Energy above the lowest structure with this stoichiometry**: 50.3 meV/atom
**VASP energy**: -20.535 eV per atom
**Calculated formation energy**: 0.06 eV/atom

Below is a PBEsol-optimized structure of Co2Rh, with properties calculated at the meta-GGA SCAN level.

a = 3.5641 Å, b = 3.6008 Å, c = 5.6932 Å
α = 90.00°, β = 108.25°, γ = 90.00°
With the nearest neighbours (Å) after each atom.
Atoms (fractional coordinates):
Rh 0.9135 0.2500 0.8272  10 Co 2.51-2.60, 2 Rh 2.59
Rh 0.0865 0.7500 0.1728  10 Co 2.51-2.60, 2 Rh 2.59
Co 0.4111 0.7500 0.8224  6 Co 2.49-2.63, 6 Rh 2.53-2.60
Co 0.7500 0.7500 0.5001  8 Co 2.49-2.53, 4 Rh 2.51-2.52
Co 0.2499 0.2500 0.5000  8 Co 2.49-2.53, 4 Rh 2.51-2.52
Co 0.5889 0.2500 0.1776  6 Co 2.49-2.63, 6 Rh 2.53-2.60

Summary:
**N(E_F)**: 4.3 states/eV/cell
**VASP energy**: -22.775 eV per atom
**Calculated formation energy**: 0.02 eV/atom

Below is a PBEsol-optimized structure of Co2Rh, with properties calculated at the meta-GGA SCAN level.

a = 2.5688 Å, b = 4.3517 Å, c = 6.1931 Å
α = 91.49°, β = 90.00°, γ = 90.00°
With the nearest neighbours (Å) after each atom.
Atoms (fractional coordinates):
Co 0.0000 0.0000 0.5000  8 Co 2.49-2.57, 4 Rh 2.52
Co 0.0000 0.6671 0.8208  6 Co 2.46-2.68, 6 Rh 2.51-2.59
Co 0.0000 0.3329 0.1792  6 Co 2.46-2.68, 6 Rh 2.51-2.59
Co 0.5000 0.5000 0.5000  10 Co 2.46-2.57, 2 Rh 2.53
Rh 0.5000 0.8268 0.1687  9 Co 2.51-2.59, 3 Rh 2.57-2.61
Rh 0.5000 0.1732 0.8313  9 Co 2.51-2.59, 3 Rh 2.57-2.61

Summary:
**N(E_F)**: 4.9 states/eV/cell
**VASP energy**: -22.749 eV per atom
**Calculated formation energy**: 0.04 eV/atom

Below is a PBEsol-optimized structure of Co3Rh, with properties calculated at the meta-GGA SCAN level.

a = 2.5586 Å, b = 4.3589 Å, c = 4.7783 Å
α = 117.14°, β = 105.53°, γ = 90.00°
With the nearest neighbours (Å) after each atom.
Atoms (fractional coordinates):
Rh 0.5000 0.1601 0.0000  10 Co 2.49-2.55, 2 Rh 2.56
Co 0.0000 0.6657 0.0000  8 Co 2.47-2.56, 4 Rh 2.51-2.55
Co 0.7456 0.7494 0.4913  9 Co 2.47-2.56, 3 Rh 2.49-2.52
Co 0.2544 0.2581 0.5087  9 Co 2.47-2.56, 3 Rh 2.49-2.52

Summary:
**N(E_F)**: 3.1 states/eV/cell
**VASP energy**: -21.373 eV per atom
**Calculated formation energy**: 0.05 eV/atom

Below is a PBEsol-optimized structure of Co3Rh, with properties calculated at the meta-GGA SCAN level.

a = 4.0592 Å, b = 4.4021 Å, c = 5.0500 Å
α = 90.00°, β = 90.00°, γ = 90.00°
With the nearest neighbours (Å) after each atom.
Atoms (fractional coordinates):
Rh 0.0000 0.6618 0.0000  12 Co 2.52-2.54
Rh 0.5000 0.3382 0.5000  12 Co 2.52-2.54
Co 0.5000 0.8398 0.7494  8 Co 2.47-2.61, 4 Rh 2.52-2.54
Co 0.0000 0.1602 0.2494  8 Co 2.47-2.61, 4 Rh 2.52-2.54
Co 0.5000 0.3204 0.0000  8 Co 2.47-2.61, 4 Rh 2.53
Co 0.5000 0.8398 0.2506  8 Co 2.47-2.61, 4 Rh 2.52-2.54
Co 0.0000 0.1602 0.7506  8 Co 2.47-2.61, 4 Rh 2.52-2.54
Co 0.0000 0.6796 0.5000  8 Co 2.47-2.61, 4 Rh 2.53

Summary:
**N(E_F)**: 6.1 states/eV/cell
**VASP energy**: -21.394 eV per atom
**Calculated formation energy**: 0.03 eV/atom

Below is a PBEsol-optimized structure of CoRuRh2, with properties calculated at the meta-GGA SCAN level.

a = 2.6254 Å, b = 4.5131 Å, c = 4.5360 Å
α = 99.79°, β = 106.82°, γ = 90.00°
With the nearest neighbours (Å) after each atom.
Atoms (fractional coordinates):
Rh 0.2520 0.2533 0.5041  6 Rh 2.59-2.63, 3 Co 2.60-2.63, 3 Ru 2.61-2.63
Rh 0.7480 0.7467 0.4959  6 Rh 2.59-2.63, 3 Co 2.60-2.63, 3 Ru 2.61-2.63
Ru 0.5000 0.0000 0.0000  4 Co 2.61, 6 Rh 2.61-2.63, 2 Ru 2.63
Co 0.0000 0.5000 0.0000  6 Rh 2.60-2.63, 4 Ru 2.61, 2 Co 2.63

Summary:
**N(E_F)**: 4.1 states/eV/cell
**Energy above the lowest structure with this stoichiometry**: 28.8 meV/atom
**VASP energy**: -29.806 eV per atom
**Calculated formation energy**: 0.11 eV/atom

Below is a PBEsol-optimized structure of Co2RuRh, with properties calculated at the meta-GGA SCAN level.

a = 2.5887 Å, b = 2.5887 Å, c = 8.3800 Å
α = 81.11°, β = 81.11°, γ = 60.00°
With the nearest neighbours (Å) after each atom.
Atoms (fractional coordinates):
Rh 0.5000 0.5000 0.5000  6 Co 2.56, 6 Rh 2.59
Co 0.7493 0.7493 0.7521  3 Ru 2.53, 3 Rh 2.56, 6 Co 2.59
Co 0.2507 0.2507 0.2479  3 Ru 2.53, 3 Rh 2.56, 6 Co 2.59
Ru 0.0000 0.0000 0.0000  6 Co 2.53, 6 Ru 2.59

Summary:
**N(E_F)**: 4.7 states/eV/cell
**VASP energy**: -25.625 eV per atom
**Calculated formation energy**: 0.18 eV/atom